Entry 1:
DFT (GGA-PBE) results for LiCePO5 after structural relaxation.

Output
energy relative to the elements, uncorrected = -2.725 eV per atom
SG = C2/c (15)
volume = 14.79 A^3/atom
E = -119.7 eV per cell

CIF file:
```
data_LiCePO5
_chemical_formula_sum 'Li2 Ce2 P2 O10'
_cell_length_a 5.830
_cell_length_b 5.830
_cell_length_c 7.930
_cell_angle_alpha 109.38
_cell_angle_beta 109.38
_cell_angle_gamma 92.11
_space_group_name_H-M_alt 'P 1'
_space_group_IT_number 1
loop_
_space_group_symop_operation_xyz
'x,y,z'
loop_
_atom_site_label
_atom_site_fract_x
_atom_site_fract_y
_atom_site_fract_z
_atom_site_occupancy
Li1 0.328 0.672 0.250 1
Li2 0.672 0.328 0.750 1
Ce1 0.000 0.000 0.500 1
Ce2 0.000 0.000 0.000 1
P1 0.634 0.366 0.250 1
P2 0.366 0.634 0.750 1
O1 0.098 0.902 0.250 1
O2 0.902 0.098 0.750 1
O3 0.754 0.274 0.097 1
O4 0.246 0.726 0.903 1
O5 0.726 0.246 0.403 1
O6 0.274 0.754 0.597 1
O7 0.691 0.653 0.346 1
O8 0.309 0.347 0.654 1
O9 0.347 0.309 0.154 1
O10 0.653 0.691 0.846 1
```

***

Entry 2:
DFT (GGA-PBE) results for Li2CePO after structural relaxation.

Output
energy relative to the elements, uncorrected = -1.599 eV per atom
SG = Cmcm (63)
volume = 14.46 A^3/atom
E = -56.2 eV per cell

CIF file:
```
data_Li2CePO
_chemical_formula_sum 'Li4 Ce2 P2 O2'
_cell_length_a 3.681
_cell_length_b 5.799
_cell_length_c 7.144
_cell_angle_alpha 90.00
_cell_angle_beta 90.00
_cell_angle_gamma 108.50
_space_group_name_H-M_alt 'P 1'
_space_group_IT_number 1
loop_
_space_group_symop_operation_xyz
'x,y,z'
loop_
_atom_site_label
_atom_site_fract_x
_atom_site_fract_y
_atom_site_fract_z
_atom_site_occupancy
Li1 0.169 0.338 0.941 1
Li2 0.831 0.662 0.059 1
Li3 0.169 0.338 0.559 1
Li4 0.831 0.662 0.441 1
Ce1 0.457 0.914 0.750 1
Ce2 0.543 0.086 0.250 1
P1 0.736 0.471 0.750 1
P2 0.264 0.529 0.250 1
O1 0.000 0.000 0.000 1
O2 0.000 0.000 0.500 1
```

***

Entry 3:
DFT (GGA-PBE) results for LiCePO after structural relaxation.

Output
energy relative to the elements, uncorrected = -1.898 eV per atom
SG = P6_3mc (186)
volume = 17.08 A^3/atom
E = -51.6 eV per cell

CIF file:
```
data_LiCePO
_chemical_formula_sum 'Li2 Ce2 P2 O2'
_cell_length_a 3.922
_cell_length_b 3.922
_cell_length_c 10.257
_cell_angle_alpha 90.00
_cell_angle_beta 90.00
_cell_angle_gamma 120.00
_space_group_name_H-M_alt 'P 1'
_space_group_IT_number 1
loop_
_space_group_symop_operation_xyz
'x,y,z'
loop_
_atom_site_label
_atom_site_fract_x
_atom_site_fract_y
_atom_site_fract_z
_atom_site_occupancy
Li1 0.000 0.000 0.163 1
Li2 0.000 0.000 0.663 1
Ce1 0.333 0.667 0.922 1
Ce2 0.667 0.333 0.422 1
P1 0.667 0.333 0.748 1
P2 0.333 0.667 0.248 1
O1 0.000 0.000 0.479 1
O2 0.000 0.000 0.979 1
```

***

Entry 4:
DFT (GGA-PBE) results for Li4CePa3O12 after structural relaxation.

Output
energy relative to the elements, uncorrected = -2.867 eV per atom
SG = R32 (155)
volume = 14.38 A^3/atom
E = -158.9 eV per cell

CIF file:
```
data_Li4CePa3O12
_chemical_formula_sum 'Li4 Ce1 Pa3 O12'
_cell_length_a 6.978
_cell_length_b 6.978
_cell_length_c 6.978
_cell_angle_alpha 106.38
_cell_angle_beta 106.38
_cell_angle_gamma 106.38
_space_group_name_H-M_alt 'P 1'
_space_group_IT_number 1
loop_
_space_group_symop_operation_xyz
'x,y,z'
loop_
_atom_site_label
_atom_site_fract_x
_atom_site_fract_y
_atom_site_fract_z
_atom_site_occupancy
Li1 0.947 0.053 0.500 1
Li2 0.053 0.500 0.947 1
Li3 0.500 0.947 0.053 1
Li4 0.500 0.500 0.500 1
Ce1 0.000 0.000 0.000 1
Pa1 0.549 0.451 0.000 1
Pa2 0.451 0.000 0.549 1
Pa3 0.000 0.549 0.451 1
O1 0.500 0.338 0.662 1
O2 0.888 0.500 0.112 1
O3 0.112 0.888 0.500 1
O4 0.500 0.112 0.888 1
O5 0.318 0.979 0.216 1
O6 0.216 0.318 0.979 1
O7 0.979 0.216 0.318 1
O8 0.682 0.784 0.021 1
O9 0.021 0.682 0.784 1
O10 0.784 0.021 0.682 1
O11 0.662 0.500 0.338 1
O12 0.338 0.662 0.500 1
```

***

Entry 5:
DFT (GGA-PBE) results for LiCePa2O8 after structural relaxation.

Output
energy relative to the elements, uncorrected = -2.712 eV per atom
SG = P-3 (147)
volume = 12.75 A^3/atom
E = -99.1 eV per cell

CIF file:
```
data_LiCePa2O8
_chemical_formula_sum 'Li1 Ce1 Pa2 O8'
_cell_length_a 5.572
_cell_length_b 5.572
_cell_length_c 5.690
_cell_angle_alpha 90.00
_cell_angle_beta 90.00
_cell_angle_gamma 120.00
_space_group_name_H-M_alt 'P 1'
_space_group_IT_number 1
loop_
_space_group_symop_operation_xyz
'x,y,z'
loop_
_atom_site_label
_atom_site_fract_x
_atom_site_fract_y
_atom_site_fract_z
_atom_site_occupancy
Li1 0.000 0.000 0.000 1
Ce1 0.000 0.000 0.500 1
Pa1 0.667 0.333 0.111 1
Pa2 0.333 0.667 0.889 1
O1 0.941 0.675 0.814 1
O2 0.325 0.265 0.814 1
O3 0.735 0.059 0.814 1
O4 0.059 0.325 0.186 1
O5 0.675 0.735 0.186 1
O6 0.265 0.941 0.186 1
O7 0.667 0.333 0.449 1
O8 0.333 0.667 0.551 1
```

***

Entry 6:
DFT (GGA-PBE) results for LiCePaO6 after structural relaxation.

Output
energy relative to the elements, uncorrected = -2.575 eV per atom
SG = P312 (149)
volume = 13.95 A^3/atom
E = -70.3 eV per cell

CIF file:
```
data_LiCePaO6
_chemical_formula_sum 'Li1 Ce1 Pa1 O6'
_cell_length_a 4.988
_cell_length_b 5.390
_cell_length_c 5.390
_cell_angle_alpha 120.00
_cell_angle_beta 90.00
_cell_angle_gamma 90.00
_space_group_name_H-M_alt 'P 1'
_space_group_IT_number 1
loop_
_space_group_symop_operation_xyz
'x,y,z'
loop_
_atom_site_label
_atom_site_fract_x
_atom_site_fract_y
_atom_site_fract_z
_atom_site_occupancy
Li1 0.500 0.667 0.333 1
Ce1 0.500 0.000 0.000 1
Pa1 0.000 0.333 0.667 1
O1 0.747 0.653 0.660 1
O2 0.747 0.340 0.993 1
O3 0.747 0.007 0.347 1
O4 0.253 0.340 0.347 1
O5 0.253 0.653 0.993 1
O6 0.253 0.007 0.660 1
```

***

Entry 7:
DFT (GGA-PBE) results for LiCe2PbO after structural relaxation.

Output
energy relative to the elements, uncorrected = -1.332 eV per atom
SG = P4/mmm (123)
volume = 21.85 A^3/atom
E = -29.1 eV per cell

CIF file:
```
data_LiCe2PbO
_chemical_formula_sum 'Li1 Ce2 Pb1 O1'
_cell_length_a 4.591
_cell_length_b 4.878
_cell_length_c 4.878
_cell_angle_alpha 90.00
_cell_angle_beta 90.00
_cell_angle_gamma 90.00
_space_group_name_H-M_alt 'P 1'
_space_group_IT_number 1
loop_
_space_group_symop_operation_xyz
'x,y,z'
loop_
_atom_site_label
_atom_site_fract_x
_atom_site_fract_y
_atom_site_fract_z
_atom_site_occupancy
Li1 0.500 0.000 0.000 1
Ce1 0.000 0.000 0.500 1
Ce2 0.000 0.500 0.000 1
Pb1 0.500 0.500 0.500 1
O1 0.000 0.000 0.000 1
```

***

Entry 8:
DFT (GGA-PBE) results for LiCe2PdO5 after structural relaxation.

Output
energy relative to the elements, uncorrected = -2.336 eV per atom
SG = P4/mbm (127)
volume = 14.49 A^3/atom
E = -129.6 eV per cell

CIF file:
```
data_LiCe2PdO5
_chemical_formula_sum 'Li2 Ce4 Pd2 O10'
_cell_length_a 5.809
_cell_length_b 6.702
_cell_length_c 6.702
_cell_angle_alpha 90.00
_cell_angle_beta 90.00
_cell_angle_gamma 90.00
_space_group_name_H-M_alt 'P 1'
_space_group_IT_number 1
loop_
_space_group_symop_operation_xyz
'x,y,z'
loop_
_atom_site_label
_atom_site_fract_x
_atom_site_fract_y
_atom_site_fract_z
_atom_site_occupancy
Li1 0.000 0.500 0.500 1
Li2 0.000 0.000 0.000 1
Ce1 0.500 0.678 0.178 1
Ce2 0.500 0.178 0.322 1
Ce3 0.500 0.822 0.678 1
Ce4 0.500 0.322 0.822 1
Pd1 0.000 0.000 0.500 1
Pd2 0.000 0.500 0.000 1
O1 0.500 0.500 0.500 1
O2 0.500 0.000 0.000 1
O3 0.260 0.141 0.641 1
O4 0.260 0.859 0.359 1
O5 0.260 0.359 0.141 1
O6 0.260 0.641 0.859 1
O7 0.740 0.141 0.641 1
O8 0.740 0.641 0.859 1
O9 0.740 0.859 0.359 1
O10 0.740 0.359 0.141 1
```

***

Entry 9:
DFT (GGA-PBE) results for Li2Ce2PdO6 after structural relaxation.

Output
energy relative to the elements, uncorrected = -1.975 eV per atom
SG = R-3m (166)
volume = 13.19 A^3/atom
E = -72.4 eV per cell

CIF file:
```
data_Li2Ce2PdO6
_chemical_formula_sum 'Li2 Ce2 Pd1 O6'
_cell_length_a 5.710
_cell_length_b 5.710
_cell_length_c 6.107
_cell_angle_alpha 62.13
_cell_angle_beta 62.13
_cell_angle_gamma 60.00
_space_group_name_H-M_alt 'P 1'
_space_group_IT_number 1
loop_
_space_group_symop_operation_xyz
'x,y,z'
loop_
_atom_site_label
_atom_site_fract_x
_atom_site_fract_y
_atom_site_fract_z
_atom_site_occupancy
Li1 0.421 0.421 0.738 1
Li2 0.579 0.579 0.262 1
Ce1 0.798 0.798 0.605 1
Ce2 0.202 0.202 0.395 1
Pd1 0.000 0.000 0.000 1
O1 0.753 0.753 0.283 1
O2 0.211 0.753 0.283 1
O3 0.753 0.211 0.283 1
O4 0.247 0.789 0.717 1
O5 0.789 0.247 0.717 1
O6 0.247 0.247 0.717 1
```

***

Entry 10:
DFT (GGA-PBE) results for LiCePr2O6 after structural relaxation.

Output
energy relative to the elements, uncorrected = -2.819 eV per atom
SG = P2_1/c (14)
volume = 15.34 A^3/atom
E = -150.7 eV per cell

CIF file:
```
data_LiCePr2O6
_chemical_formula_sum 'Li2 Ce2 Pr4 O12'
_cell_length_a 5.804
_cell_length_b 5.859
_cell_length_c 9.065
_cell_angle_alpha 90.00
_cell_angle_beta 95.61
_cell_angle_gamma 90.00
_space_group_name_H-M_alt 'P 1'
_space_group_IT_number 1
loop_
_space_group_symop_operation_xyz
'x,y,z'
loop_
_atom_site_label
_atom_site_fract_x
_atom_site_fract_y
_atom_site_fract_z
_atom_site_occupancy
Li1 0.500 0.000 0.500 1
Li2 0.000 0.500 0.000 1
Ce1 0.500 0.000 0.000 1
Ce2 0.000 0.500 0.500 1
Pr1 0.045 0.948 0.238 1
Pr2 0.545 0.552 0.738 1
Pr3 0.955 0.052 0.762 1
Pr4 0.455 0.448 0.262 1
O1 0.282 0.718 0.096 1
O2 0.782 0.782 0.596 1
O3 0.718 0.282 0.904 1
O4 0.218 0.218 0.404 1
O5 0.288 0.715 0.434 1
O6 0.788 0.785 0.934 1
O7 0.712 0.285 0.566 1
O8 0.212 0.215 0.066 1
O9 0.843 0.586 0.279 1
O10 0.343 0.914 0.779 1
O11 0.157 0.414 0.721 1
O12 0.657 0.086 0.221 1
```

***

Entry 11:
DFT (GGA-PBE) results for Li2CePtO4 after structural relaxation.

Output
energy relative to the elements, uncorrected = -1.845 eV per atom
SG = I4/mmm (139)
volume = 13.05 A^3/atom
E = -50.4 eV per cell

CIF file:
```
data_Li2CePtO4
_chemical_formula_sum 'Li2 Ce1 Pt1 O4'
_cell_length_a 5.140
_cell_length_b 5.140
_cell_length_c 5.140
_cell_angle_alpha 107.21
_cell_angle_beta 110.61
_cell_angle_gamma 110.61
_space_group_name_H-M_alt 'P 1'
_space_group_IT_number 1
loop_
_space_group_symop_operation_xyz
'x,y,z'
loop_
_atom_site_label
_atom_site_fract_x
_atom_site_fract_y
_atom_site_fract_z
_atom_site_occupancy
Li1 0.500 0.750 0.250 1
Li2 0.500 0.250 0.750 1
Ce1 0.000 0.000 0.000 1
Pt1 0.000 0.500 0.500 1
O1 0.000 0.257 0.742 1
O2 0.516 0.258 0.258 1
O3 0.484 0.743 0.743 1
O4 0.000 0.742 0.257 1
```

***

Entry 12:
DFT (GGA-PBE) results for LiCePuO6 after structural relaxation.

Output
energy relative to the elements, uncorrected = -2.578 eV per atom
SG = P4_2nm (102)
volume = 14.28 A^3/atom
E = -150.3 eV per cell

CIF file:
```
data_LiCePuO6
_chemical_formula_sum 'Li2 Ce2 Pu2 O12'
_cell_length_a 5.085
_cell_length_b 5.085
_cell_length_c 9.938
_cell_angle_alpha 90.00
_cell_angle_beta 90.00
_cell_angle_gamma 90.00
_space_group_name_H-M_alt 'P 1'
_space_group_IT_number 1
loop_
_space_group_symop_operation_xyz
'x,y,z'
loop_
_atom_site_label
_atom_site_fract_x
_atom_site_fract_y
_atom_site_fract_z
_atom_site_occupancy
Li1 0.500 0.500 0.163 1
Li2 0.000 0.000 0.663 1
Ce1 0.500 0.500 0.491 1
Ce2 0.000 0.000 0.991 1
Pu1 0.500 0.500 0.836 1
Pu2 0.000 0.000 0.336 1
O1 0.184 0.816 0.487 1
O2 0.816 0.184 0.487 1
O3 0.316 0.316 0.987 1
O4 0.684 0.684 0.987 1
O5 0.179 0.821 0.185 1
O6 0.821 0.179 0.185 1
O7 0.321 0.321 0.685 1
O8 0.679 0.679 0.685 1
O9 0.787 0.213 0.834 1
O10 0.213 0.787 0.834 1
O11 0.713 0.713 0.334 1
O12 0.287 0.287 0.334 1
```